[1]
# PBE CaMnSiTe2, optimized geometry
# * formation energy (no corrections): 0.944 eV/atom
data_CaMnSiTe2
_space_group_name_H-M_alt 'P 4/m m m'
_space_group_IT_number 123
_space_group_name_Hall '-P 4 2'
_cell_length_a 5.755
_cell_length_b 5.755
_cell_length_c 5.424
_cell_angle_alpha 90.00
_cell_angle_beta 90.00
_cell_angle_gamma 90.00
loop_
_atom_site_label
_atom_site_fract_x
_atom_site_fract_y
_atom_site_fract_z
Ca1 0.000 0.000 0.000
Mn1 0.000 0.000 0.500
Si1 0.500 0.500 0.500
Te1 0.000 0.500 0.000

[2]
# PBE Ca2MnZnSi, optimized geometry
# * formation energy (no corrections): 0.734 eV/atom
data_Ca2MnZnSi
_space_group_name_H-M_alt 'P 4/m m m'
_space_group_IT_number 123
_space_group_name_Hall '-P 4 2'
_cell_length_a 5.374
_cell_length_b 5.374
_cell_length_c 4.494
_cell_angle_alpha 90.00
_cell_angle_beta 90.00
_cell_angle_gamma 90.00
loop_
_atom_site_label
_atom_site_fract_x
_atom_site_fract_y
_atom_site_fract_z
Ca1 0.000 0.500 0.000
Mn1 0.000 0.000 0.500
Zn1 0.000 0.000 0.000
Si1 0.500 0.500 0.500

Results for total DFT energy (no corrections): -3.63; -3.24 (in eV per atom, following the order of the records).
Results for size of the total moment: 4.62; 0.04 (in Bohr magnetons per cell, following the order of the records).
Results for N(E_F): 3.3; 5.1 (in states/eV/cell, following the order of the records).